# Tb2SiN3 PBE optimized geometry
# N(E_F): 0.34 states/eV/atom
# final energy: -7.965 eV/atom
# formation energy from raw total energies: -1.35 eV per atom
# spin magnetization: 0.00 μB/atom
data_Tb2SiN3
_cell_length_a 5.2570
_cell_length_b 10.4259
_cell_length_c 11.4037
_cell_angle_alpha 90.00
_cell_angle_beta 92.77
_cell_angle_gamma 90.00
_symmetry_space_group_name_H-M 'C 1 2/c 1'
_symmetry_Int_Tables_number 15
loop_
_symmetry_equiv_pos_as_xyz
'x,y,z'
'-x,-y,-z'
'-x,y,-z+1/2'
'x,-y,z+1/2'
'x+1/2,y+1/2,z'
'-x+1/2,-y+1/2,-z'
'-x+1/2,y+1/2,-z+1/2'
'x+1/2,-y+1/2,z+1/2'
loop_
_atom_site_label
_atom_site_type_symbol
_atom_site_fract_x
_atom_site_fract_y
_atom_site_fract_z
_atom_site_occupancy
Tb1 Tb 0.2303 0.1999 0.3560 1
Tb2 Tb 0.2384 0.1122 0.9310 1
Si1 Si 0.2351 0.4998 0.3340 1
N1 N 0.0000 0.0037 0.7500 1
N2 N 0.0000 0.4149 0.2500 1
N3 N 0.1986 0.3353 0.8617 1
N4 N 0.2305 0.0971 0.5405 1